Entry 1:
# LaCdIn2, relaxed, DFT GGA-PBEsol
data_LaCdIn2
_chemical_formula_sum 'La1 Cd1 In2'
_symmetry_space_group_name_H-M 'P 1'
_symmetry_Int_Tables_number 1
_symmetry_space_group_name_Hall 'P 1'
_cell_length_a 3.326
_cell_length_b 4.195
_cell_length_c 7.291
_cell_angle_alpha 90.00
_cell_angle_beta 90.00
_cell_angle_gamma 90.00
loop_
_atom_site_label
_atom_site_fract_x
_atom_site_fract_y
_atom_site_fract_z
_atom_site_occupancy
La1 0.000 0.000 0.000 1
Cd1 0.000 0.000 0.500 1
In1 0.500 0.500 0.290 1
In2 0.500 0.500 0.710 1
# Calculated formation energy (eV per atom): -0.301
# E_tot (eV/f.u.): -13.71


Entry 2:
# LaCdIn2, relaxed, DFT GGA-PBEsol
data_LaCdIn2
_chemical_formula_sum 'La1 Cd1 In2'
_symmetry_space_group_name_H-M 'P 1'
_symmetry_Int_Tables_number 1
_symmetry_space_group_name_Hall 'P 1'
_cell_length_a 6.102
_cell_length_b 6.102
_cell_length_c 6.102
_cell_angle_alpha 45.73
_cell_angle_beta 45.73
_cell_angle_gamma 45.73
loop_
_atom_site_label
_atom_site_fract_x
_atom_site_fract_y
_atom_site_fract_z
_atom_site_occupancy
La1 0.000 0.000 0.000 1
Cd1 0.500 0.500 0.500 1
In1 0.226 0.226 0.226 1
In2 0.774 0.774 0.774 1
# Calculated formation energy (eV per atom): -0.376
# E_tot (eV/f.u.): -14.01


Entry 3:
# LaCdIn2, relaxed, DFT GGA-PBEsol
data_LaCdIn2
_chemical_formula_sum 'La1 Cd1 In2'
_symmetry_space_group_name_H-M 'P 1'
_symmetry_Int_Tables_number 1
_symmetry_space_group_name_Hall 'P 1'
_cell_length_a 4.695
_cell_length_b 4.695
_cell_length_c 4.634
_cell_angle_alpha 90.00
_cell_angle_beta 90.00
_cell_angle_gamma 90.00
loop_
_atom_site_label
_atom_site_fract_x
_atom_site_fract_y
_atom_site_fract_z
_atom_site_occupancy
La1 0.000 0.000 0.000 1
Cd1 0.500 0.500 0.000 1
In1 0.000 0.500 0.500 1
In2 0.500 0.000 0.500 1
# Calculated formation energy (eV per atom): -0.450
# E_tot (eV/f.u.): -14.31


Entry 4:
# LaCdIn2Te, relaxed, DFT GGA-PBEsol
data_LaCdIn2Te
_chemical_formula_sum 'La1 Cd1 In2 Te1'
_symmetry_space_group_name_H-M 'P 1'
_symmetry_Int_Tables_number 1
_symmetry_space_group_name_Hall 'P 1'
_cell_length_a 6.028
_cell_length_b 6.028
_cell_length_c 5.826
_cell_angle_alpha 90.00
_cell_angle_beta 90.00
_cell_angle_gamma 90.00
loop_
_atom_site_label
_atom_site_fract_x
_atom_site_fract_y
_atom_site_fract_z
_atom_site_occupancy
La1 0.000 0.000 0.000 1
Cd1 0.000 0.000 0.500 1
In1 0.000 0.500 0.000 1
In2 0.500 0.000 0.000 1
Te1 0.500 0.500 0.500 1
# E_form (uncorrected) (eV/atom): 0.767
# E_tot (eV/f.u.): -12.20


Entry 5:
# LiCdIn2, relaxed, DFT GGA-PBEsol
data_LiCdIn2
_chemical_formula_sum 'Li1 Cd1 In2'
_symmetry_space_group_name_H-M 'P 1'
_symmetry_Int_Tables_number 1
_symmetry_space_group_name_Hall 'P 1'
_cell_length_a 3.188
_cell_length_b 5.149
_cell_length_c 5.548
_cell_angle_alpha 80.62
_cell_angle_beta 89.27
_cell_angle_gamma 74.69
loop_
_atom_site_label
_atom_site_fract_x
_atom_site_fract_y
_atom_site_fract_z
_atom_site_occupancy
Li1 0.000 0.000 0.000 1
Cd1 0.263 0.481 0.763 1
In1 0.508 0.994 0.511 1
In2 0.735 0.508 0.231 1
# Calculated formation energy (eV per atom): -0.137
# E_tot (eV/f.u.): -9.68


Entry 6:
# LiCdIn2, relaxed, DFT GGA-PBEsol
data_LiCdIn2
_chemical_formula_sum 'Li1 Cd1 In2'
_symmetry_space_group_name_H-M 'P 1'
_symmetry_Int_Tables_number 1
_symmetry_space_group_name_Hall 'P 1'
_cell_length_a 4.397
_cell_length_b 4.397
_cell_length_c 4.384
_cell_angle_alpha 90.00
_cell_angle_beta 90.00
_cell_angle_gamma 90.00
loop_
_atom_site_label
_atom_site_fract_x
_atom_site_fract_y
_atom_site_fract_z
_atom_site_occupancy
Li1 0.000 0.000 0.000 1
Cd1 0.500 0.500 0.000 1
In1 0.000 0.500 0.500 1
In2 0.500 0.000 0.500 1
# Calculated formation energy (eV per atom): -0.175
# E_tot (eV/f.u.): -9.83


Entry 7:
# LiCdIn2, relaxed, DFT GGA-PBEsol
data_LiCdIn2
_chemical_formula_sum 'Li1 Cd1 In2'
_symmetry_space_group_name_H-M 'P 1'
_symmetry_Int_Tables_number 1
_symmetry_space_group_name_Hall 'P 1'
_cell_length_a 3.294
_cell_length_b 4.292
_cell_length_c 6.063
_cell_angle_alpha 90.00
_cell_angle_beta 90.00
_cell_angle_gamma 90.00
loop_
_atom_site_label
_atom_site_fract_x
_atom_site_fract_y
_atom_site_fract_z
_atom_site_occupancy
Li1 0.000 0.000 0.000 1
Cd1 0.500 0.500 0.237 1
In1 0.000 0.000 0.492 1
In2 0.500 0.500 0.760 1
# Calculated formation energy (eV per atom): -0.147
# E_tot (eV/f.u.): -9.72


Entry 8:
# LiCdIn2, relaxed, DFT GGA-PBEsol
data_LiCdIn2
_chemical_formula_sum 'Li1 Cd1 In2'
_symmetry_space_group_name_H-M 'P 1'
_symmetry_Int_Tables_number 1
_symmetry_space_group_name_Hall 'P 1'
_cell_length_a 3.123
_cell_length_b 5.016
_cell_length_c 5.558
_cell_angle_alpha 90.00
_cell_angle_beta 90.09
_cell_angle_gamma 90.00
loop_
_atom_site_label
_atom_site_fract_x
_atom_site_fract_y
_atom_site_fract_z
_atom_site_occupancy
Li1 0.000 0.000 0.000 1
Cd1 0.004 0.500 0.305 1
In1 0.500 0.500 0.829 1
In2 0.502 0.000 0.505 1
# Calculated formation energy (eV per atom): -0.130
# E_tot (eV/f.u.): -9.65


Entry 9:
# Li3CdIn, relaxed, DFT GGA-PBEsol
data_Li3CdIn
_chemical_formula_sum 'Li3 Cd1 In1'
_symmetry_space_group_name_H-M 'P 1'
_symmetry_Int_Tables_number 1
_symmetry_space_group_name_Hall 'P 1'
_cell_length_a 5.039
_cell_length_b 5.039
_cell_length_c 5.039
_cell_angle_alpha 90.00
_cell_angle_beta 90.00
_cell_angle_gamma 90.00
loop_
_atom_site_label
_atom_site_fract_x
_atom_site_fract_y
_atom_site_fract_z
_atom_site_occupancy
Li1 0.000 0.000 0.500 1
Li2 0.000 0.500 0.000 1
Li3 0.500 0.000 0.000 1
Cd1 0.500 0.500 0.500 1
In1 0.000 0.000 0.000 1
# Calculated formation energy (eV per atom): 0.254
# E_tot (eV/f.u.): -8.81


Entry 10:
# LiCdIn2, relaxed, DFT GGA-PBEsol
data_LiCdIn2
_chemical_formula_sum 'Li1 Cd1 In2'
_symmetry_space_group_name_H-M 'P 1'
_symmetry_Int_Tables_number 1
_symmetry_space_group_name_Hall 'P 1'
_cell_length_a 3.286
_cell_length_b 4.300
_cell_length_c 6.071
_cell_angle_alpha 90.00
_cell_angle_beta 90.00
_cell_angle_gamma 90.00
loop_
_atom_site_label
_atom_site_fract_x
_atom_site_fract_y
_atom_site_fract_z
_atom_site_occupancy
Li1 0.000 0.000 0.000 1
Cd1 0.000 0.000 0.500 1
In1 0.500 0.500 0.245 1
In2 0.500 0.500 0.755 1
# Calculated formation energy (eV per atom): -0.142
# E_tot (eV/f.u.): -9.70


Entry 11:
# LiCd4In, relaxed, DFT GGA-PBEsol
data_LiCd4In
_chemical_formula_sum 'Li1 Cd4 In1'
_symmetry_space_group_name_H-M 'P 1'
_symmetry_Int_Tables_number 1
_symmetry_space_group_name_Hall 'P 1'
_cell_length_a 5.746
_cell_length_b 5.746
_cell_length_c 5.746
_cell_angle_alpha 60.00
_cell_angle_beta 60.00
_cell_angle_gamma 60.00
loop_
_atom_site_label
_atom_site_fract_x
_atom_site_fract_y
_atom_site_fract_z
_atom_site_occupancy
Li1 0.000 0.000 0.000 1
Cd1 0.123 0.626 0.626 1
Cd2 0.626 0.123 0.626 1
Cd3 0.626 0.626 0.123 1
Cd4 0.626 0.626 0.626 1
In1 0.250 0.250 0.250 1
# Calculated formation energy (eV per atom): -0.038
# E_tot (eV/f.u.): -9.97


Entry 12:
# LiCdIn2, relaxed, DFT GGA-PBEsol
data_LiCdIn2
_chemical_formula_sum 'Li1 Cd1 In2'
_symmetry_space_group_name_H-M 'P 1'
_symmetry_Int_Tables_number 1
_symmetry_space_group_name_Hall 'P 1'
_cell_length_a 5.390
_cell_length_b 5.390
_cell_length_c 3.175
_cell_angle_alpha 90.00
_cell_angle_beta 90.00
_cell_angle_gamma 110.65
loop_
_atom_site_label
_atom_site_fract_x
_atom_site_fract_y
_atom_site_fract_z
_atom_site_occupancy
Li1 0.000 0.000 0.000 1
Cd1 0.500 0.500 0.000 1
In1 0.000 0.500 0.500 1
In2 0.500 0.000 0.500 1
# Calculated formation energy (eV per atom): -0.136
# E_tot (eV/f.u.): -9.68